Record 1
The following is a GGA-PBE calculation of crystalline CdSnIO6 at its relaxed geometry, from Alexandria.

Unit cell a=5.441 b=5.441 c=9.821 alpha=90.00 beta=90.00 gamma=120.00
Atoms (fractional coordinates):
Cd 0.000 0.000 0.000
Cd 0.000 0.000 0.500
Sn 0.333 0.667 0.250
Sn 0.667 0.333 0.750
I 0.333 0.667 0.750
I 0.667 0.333 0.250
O 0.012 0.369 0.637
O 0.012 0.642 0.863
O 0.358 0.369 0.863
O 0.358 0.988 0.637
O 0.369 0.012 0.137
O 0.369 0.358 0.363
O 0.631 0.642 0.637
O 0.631 0.988 0.863
O 0.642 0.012 0.363
O 0.642 0.631 0.137
O 0.988 0.358 0.137
O 0.988 0.631 0.363

Results
DOS(E_F) in states/eV per cell: 7.126
Electronic total energy in eV per cell: -87.44
Magnetization in μB per formula unit: 0.00
E_form (uncorrected) in meV/atom: -834

---

Record 2
The following is a GGA-PBE calculation of crystalline PmDyHoN3 at its relaxed geometry, from Alexandria.

Unit cell a=6.024 b=3.491 c=9.067 alpha=90.00 beta=101.63 gamma=90.00
Atoms (fractional coordinates):
Pm 0.156 0.250 0.198
Pm 0.844 0.750 0.802
Dy 0.269 0.750 0.545
Dy 0.731 0.250 0.455
Ho 0.349 0.250 0.861
Ho 0.651 0.750 0.139
N 0.039 0.250 0.668
N 0.254 0.750 0.994
N 0.465 0.750 0.345
N 0.535 0.250 0.655
N 0.746 0.250 0.006
N 0.961 0.750 0.332

Results
Electronic total energy in eV per cell: -95.02
Magnetization in μB per formula unit: 0.00
E_form (uncorrected) in meV/atom: -1434

---

Record 3
The following is a GGA-PBE calculation of crystalline HoLuThPa at its relaxed geometry, from Alexandria.

Unit cell a=5.517 b=5.517 c=5.517 alpha=60.00 beta=60.00 gamma=60.00
Atoms (fractional coordinates):
Ho 0.000 0.000 0.000
Lu 0.250 0.250 0.250
Th 0.500 0.500 0.500
Pa 0.750 0.750 0.750

Results
Energy relative to the elements in eV per atom: 0.3403
DOS(E_F) in states/eV per cell: 12.078
Electronic total energy in eV per cell: -24.65
Magnetization in μB per formula unit: 1.54

---

Record 4
The following is a GGA-PBE calculation of crystalline NdScCdGe at its relaxed geometry, from Alexandria.

Unit cell a=5.098 b=5.098 c=5.098 alpha=60.00 beta=60.00 gamma=60.00
Atoms (fractional coordinates):
Nd 0.000 0.000 0.000
Sc 0.500 0.500 0.500
Cd 0.250 0.250 0.250
Ge 0.750 0.750 0.750

Results
Energy relative to the elements in eV per atom: -0.4354
DOS(E_F) in states/eV per cell: 2.734
Electronic total energy in eV per cell: -18.37
Magnetization in μB per formula unit: 0.00

---

Computed mass density, in the same sequence as the records: 5.99; 9.15; 11.23; 6.63 Mg/m³.